The following is a DFT calculation (PBE) of crystalline Na2LaSe at its relaxed geometry.

a b c (Å): 9.112 9.112 5.955
angles (deg): 90.00 90.00 90.00
Space group I-42d (No. 122)
Asymmetric unit:
Na  0.181  0.750  0.125 x8
La  0.000  0.000  0.500 x4
Se  0.000  0.000  0.000 x4

Results
Total moment, μB/f.u.: 0.00
Density of states at the Fermi level, states/eV/f.u.: 1.55
Raw formation energy, eV per atom: -0.485